(w)
# LaY2Sc

A relaxed LaY2Sc crystal (PBE, the Alexandria database).

Structure (POSCAR):
```
LaY2Sc
1.0
3.511 0.000 0.000
0.000 5.487 0.000
-1.746 0.000 6.591
La Y Sc
1 2 1
direct
0.000 0.000 0.000 La
0.341 0.500 0.686 Y
0.734 0.000 0.472 Y
0.613 0.500 0.225 Sc
```

Results
N(E_F) in states/eV per atom: 1.90

---

(x)
# LaY2Sc

A relaxed LaY2Sc crystal (PBE, the Alexandria database).

Structure (POSCAR):
```
LaY2Sc
1.0
3.875 0.000 0.000
0.000 5.686 0.000
0.000 0.000 11.518
La Y Sc
2 4 2
direct
0.000 0.000 0.000 La
0.500 0.500 0.500 La
0.000 0.500 0.231 Y
0.000 0.500 0.769 Y
0.500 0.000 0.269 Y
0.500 0.000 0.731 Y
0.000 0.000 0.500 Sc
0.500 0.500 0.000 Sc
```

Results
N(E_F) in states/eV per atom: 1.69

---

Quick one: least stable of them? (x)

---

(w)
# B2C

A relaxed B2C crystal (PBE, the Alexandria database).

Structure (POSCAR):
```
B2C
1.0
5.490 -1.331 0.000
5.490 1.331 0.000
-1.077 0.000 5.699
B C
8 4
direct
0.000 0.000 0.000 B
0.004 0.004 0.502 B
0.224 0.224 0.975 B
0.240 0.240 0.298 B
0.335 0.335 0.823 B
0.625 0.625 0.054 B
0.709 0.709 0.777 B
0.915 0.915 0.720 B
0.359 0.359 0.168 C
0.608 0.608 0.541 C
0.682 0.682 0.350 C
0.932 0.932 0.228 C
```

Results
N(E_F) in states/eV per atom: 0.11

---

(x)
# B2C

A relaxed B2C crystal (PBE, the Alexandria database).

Structure (POSCAR):
```
B2C
1.0
2.563 0.000 0.000
0.000 3.450 0.000
-1.143 0.000 3.953
B C
2 1
direct
0.000 0.244 0.000 B
0.000 0.756 0.000 B
0.507 0.500 0.017 C
```

Results
N(E_F) in states/eV per atom: 0.16

---

Quick one: least stable of them? (x)

---

(w)
# BaSrCeTiO6

A relaxed BaSrCeTiO6 crystal (PBE, the Alexandria database).

Structure (POSCAR):
```
BaSrCeTiO6
1.0
5.938 0.000 0.000
0.025 5.946 0.000
0.043 0.026 8.381
Ba Sr Ce Ti O
2 2 2 2 12
direct
0.010 0.005 0.250 Ba
0.990 0.995 0.750 Ba
0.483 0.500 0.751 Sr
0.517 0.500 0.249 Sr
0.000 0.500 0.500 Ce
0.500 0.000 0.000 Ce
0.000 0.500 0.000 Ti
0.500 0.000 0.500 Ti
0.038 0.457 0.765 O
0.215 0.755 0.987 O
0.248 0.781 0.516 O
0.263 0.292 0.039 O
0.286 0.256 0.460 O
0.480 0.060 0.735 O
0.520 0.940 0.265 O
0.714 0.744 0.540 O
0.737 0.708 0.961 O
0.752 0.219 0.484 O
0.785 0.245 0.013 O
0.962 0.543 0.235 O
```

Results
N(E_F) in states/eV per atom: 0.00

---

(x)
# BaSrCeTiO6

A relaxed BaSrCeTiO6 crystal (PBE, the Alexandria database).

Structure (POSCAR):
```
BaSrCeTiO6
1.0
0.000 4.214 4.214
4.214 0.000 4.214
4.214 4.214 0.000
Ba Sr Ce Ti O
1 1 1 1 6
direct
0.000 0.000 0.000 Ba
0.500 0.500 0.500 Sr
0.250 0.250 0.250 Ce
0.750 0.750 0.750 Ti
0.515 0.515 0.985 O
0.515 0.985 0.515 O
0.515 0.985 0.985 O
0.985 0.515 0.515 O
0.985 0.515 0.985 O
0.985 0.985 0.515 O
```

Results
N(E_F) in states/eV per atom: 0.00

---

Quick one: least stable of them? (x)